# PBE-GGA Tb2IrPt, optimized geometry
data_Tb2IrPt
_symmetry_space_group_name_H-M 'R -3 m'
_symmetry_Int_Tables_number 166
_symmetry_space_group_name_Hall '-R 3 2"'
_cell_length_a 4.0595
_cell_length_b 4.0595
_cell_length_c 19.8428
_cell_angle_alpha 90.00
_cell_angle_beta 90.00
_cell_angle_gamma 120.00
loop_
_atom_site_label
_atom_site_type_symbol
_atom_site_fract_x
_atom_site_fract_y
_atom_site_fract_z
Tb1 Tb 0.0000 0.0000 0.2464
Ir1 Ir 0.0000 0.0000 0.5000
Pt1 Pt 0.0000 0.0000 0.0000
# Calculated total energy, eV per atom: -6.8519
# D(E_F), states/eV/cell: 5.98
# Mass density, g/cm3: 12.4